# 1
Here is crystalline Tl2In2Sn at its relaxed geometry from the Alexandria database. Energies are from PBE.

## Properties
- DOS at the Fermi energy: 0.52 states/eV/atom
- Symmetry: I4/mmm (139)
- Energy above the most stable polymorph in this dataset: 124 meV/atom
- Magnetic moment: 0.00 Bohr magnetons per cell
- ρ: 8.18 g cm⁻³

a = 9.225 Å, b = 9.225 Å, c = 9.225 Å
α = 153.73°, β = 153.73°, γ = 37.50°
Fractional coordinates of all 5 atoms:
Tl1 0.096 0.096 0.000
Tl2 0.904 0.904 0.000
In1 0.250 0.750 0.500
In2 0.750 0.250 0.500
Sn1 0.500 0.500 0.000


# 2
Here is crystalline CrNiHg2Pt at its relaxed geometry from the Alexandria database. Energies are from PBE.

## Properties
- DOS at the Fermi energy: 1.40 states/eV/atom
- Symmetry: P4/mmm (123)
- Energy above the most stable polymorph in this dataset: 188 meV/atom
- Magnetic moment: 4.13 Bohr magnetons per cell
- ρ: 9.04 g cm⁻³

a = 5.188 Å, b = 5.188 Å, c = 4.827 Å
α = 90.00°, β = 90.00°, γ = 90.00°
Fractional coordinates of all 5 atoms:
Cr1 0.000 0.000 0.000
Ni1 0.500 0.500 0.000
Hg1 0.000 0.500 0.500
Hg2 0.500 0.000 0.500
Pt1 0.000 0.000 0.500


# 3
Here is crystalline NaP2S at its relaxed geometry from the Alexandria database. Energies are from PBE.

## Properties
- DOS at the Fermi energy: 0.36 states/eV/atom
- Formation energy from raw total energies: 0.330 eV/atom
- Symmetry: I-42d (122)
- Magnetic moment: 0.00 Bohr magnetons per cell
- ρ: 2.21 g cm⁻³

a = 6.117 Å, b = 6.117 Å, c = 6.117 Å
α = 110.28°, β = 110.28°, γ = 107.86°
Fractional coordinates of all 8 atoms:
Na1 0.000 0.000 0.000
Na2 0.750 0.250 0.500
P1 0.222 0.125 0.597
P2 0.375 0.778 0.903
P3 0.528 0.625 0.403
P4 0.875 0.472 0.097
S1 0.250 0.750 0.500
S2 0.500 0.500 0.000


# 4
Here is crystalline Ta2TeOs at its relaxed geometry from the Alexandria database. Energies are from PBE.

## Properties
- DOS at the Fermi energy: 0.95 states/eV/atom
- Formation energy from raw total energies: 0.278 eV/atom
- Symmetry: Cmmm (65)
- Magnetic moment: 0.00 Bohr magnetons per cell
- ρ: 15.66 g cm⁻³

a = 4.802 Å, b = 4.802 Å, c = 3.225 Å
α = 90.00°, β = 90.00°, γ = 104.28°
Fractional coordinates of all 4 atoms:
Ta1 0.000 0.500 0.000
Ta2 0.500 0.000 0.000
Te1 0.000 0.000 0.500
Os1 0.500 0.500 0.500


# 5
Here is crystalline Ac3AlIn2Pd9 at its relaxed geometry from the Alexandria database. Energies are from PBE.

## Properties
- DOS at the Fermi energy: 0.40 states/eV/atom
- Raw total energy: -75.947 eV per formula unit
- Symmetry: P-3m1 (164)
- Magnetic moment: 0.00 Bohr magnetons per cell
- ρ: 8.51 g cm⁻³

a = 6.866 Å, b = 6.866 Å, c = 9.064 Å
α = 90.00°, β = 90.00°, γ = 120.00°
Fractional coordinates of all 15 atoms:
Ac1 0.000 0.000 0.000
Ac2 0.333 0.667 0.713
Ac3 0.667 0.333 0.287
Al1 0.000 0.000 0.500
In1 0.333 0.667 0.197
In2 0.667 0.333 0.803
Pd1 0.000 0.500 0.000
Pd2 0.132 0.264 0.291
Pd3 0.132 0.868 0.291
Pd4 0.264 0.132 0.709
Pd5 0.500 0.000 0.000
Pd6 0.500 0.500 0.000
Pd7 0.736 0.868 0.291
Pd8 0.868 0.132 0.709
Pd9 0.868 0.736 0.709


# 6
Here is crystalline RbCO2 at its relaxed geometry from the Alexandria database. Energies are from PBE.

## Properties
- DOS at the Fermi energy: 0.68 states/eV/atom
- Formation energy from raw total energies: 1.163 eV/atom
- Symmetry: R-3m (166)
- Magnetic moment: 0.00 Bohr magnetons per cell
- ρ: 4.43 g cm⁻³

a = 7.044 Å, b = 7.044 Å, c = 7.044 Å
α = 23.42°, β = 23.42°, γ = 23.42°
Fractional coordinates of all 4 atoms:
Rb1 0.000 0.000 0.000
C1 0.500 0.500 0.500
O1 0.122 0.122 0.122
O2 0.878 0.878 0.878


# 7
Here is crystalline PuNbZn at its relaxed geometry from the Alexandria database. Energies are from PBE.

## Properties
- DOS at the Fermi energy: 2.09 states/eV/atom
- Symmetry: Fmmm (69)
- Energy above the most stable polymorph in this dataset: 187 meV/atom
- Magnetic moment: 10.05 Bohr magnetons per cell
- ρ: 10.96 g cm⁻³

a = 6.555 Å, b = 5.700 Å, c = 5.182 Å
α = 73.91°, β = 56.67°, γ = 49.42°
Fractional coordinates of all 6 atoms:
Pu1 0.171 0.829 0.171
Pu2 0.829 0.171 0.829
Nb1 0.250 0.250 0.250
Nb2 0.750 0.750 0.750
Zn1 0.365 0.365 0.635
Zn2 0.635 0.635 0.365


# 8
Here is crystalline YZn2Cl6 at its relaxed geometry from the Alexandria database. Energies are from PBE.

## Properties
- DOS at the Fermi energy: 0.21 states/eV/atom
- Formation energy from raw total energies: -1.384 eV/atom
- Symmetry: C2/m (12)
- Magnetic moment: 0.00 Bohr magnetons per cell
- ρ: 2.72 g cm⁻³

a = 6.900 Å, b = 6.900 Å, c = 10.806 Å
α = 97.65°, β = 97.65°, γ = 31.27°
Fractional coordinates of all 9 atoms:
Y1 0.000 0.000 0.000
Zn1 0.287 0.287 0.272
Zn2 0.713 0.713 0.728
Cl1 0.113 0.113 0.224
Cl2 0.155 0.155 0.614
Cl3 0.375 0.375 0.091
Cl4 0.625 0.625 0.909
Cl5 0.845 0.845 0.386
Cl6 0.887 0.887 0.776